No. 1
First-principles (PBEsol) data for a relaxed CuTc3Pd crystal, as listed in Alexandria via LeMat-Bulk.

Output
The value obtained for the energy of formation is 1.7370 eV per atom. The space-group type is Pm-3m, No. 221. The spin magnetization is 0.0 μB per formula unit.

```
CuTc3Pd
1.0
-3.764 -1.875 -1.051
2.098 -2.743 -2.620
0.468 -2.784 3.290
Tc Pd Cu
3 1 1
direct
0.000 0.000 0.500
0.500 0.000 0.000
0.000 0.500 0.000
0.500 0.500 0.500
0.000 0.000 0.000
```

No. 2
First-principles (PBEsol) data for a relaxed CuTe3Pd crystal, as listed in Alexandria via LeMat-Bulk.

Output
The raw formation energy comes out at 0.6912 eV/atom. The space-group type is Pm-3m, No. 221. The spin magnetization is 0.0 μB per formula unit.

```
CuTe3Pd
1.0
5.195 0.000 0.000
0.000 5.195 0.000
0.000 0.000 5.195
Pd Cu Te
1 1 3
direct
0.000 0.000 0.000
0.500 0.500 0.500
0.000 0.000 0.500
0.000 0.500 0.000
0.500 0.000 0.000
```

No. 3
First-principles (PBEsol) data for a relaxed TiCu2Pd crystal, as listed in Alexandria via LeMat-Bulk.

Output
The value obtained for the energy of formation is -0.2123 eV per atom. The space-group type is Fm-3m, No. 225. The spin magnetization is 0.0 μB per formula unit.

```
TiCu2Pd
1.0
-2.141 -1.160 3.436
-1.656 -3.865 0.244
1.644 -2.832 2.649
Cu Ti Pd
2 1 1
direct
0.250 0.250 0.250
0.750 0.750 0.750
0.000 0.000 0.000
0.500 0.500 0.500
```